{"formula": "TaCoSnSb2", "functional": "GGA-PBE", "state": "optimized geometry", "formation_energy_uncorrected_mev_per_atom": 880, "lattice_angstrom": [[4.9475, 0.0000, 0.0000], [0.0000, 4.6972, 0.0000], [0.0000, 0.0000, 4.9475]], "species": ["Sb", "Sb", "Co", "Sn", "Ta"], "frac_coords": [[0.0000, 0.0000, 0.5000], [0.5000, 0.0000, 0.0000], [0.0000, 0.0000, 0.0000], [0.0000, 0.5000, 0.0000], [0.5000, 0.5000, 0.5000]]}